Below is crystalline LaBeMoC2 at its relaxed geometry, with properties calculated at the PBE level.

Formation energy from the elements ... 2.79 eV per atom
Space-group type ... P4/mmm (123)
Uncorrected energy ... -24.0 eV/cell
Size of the total moment ... 0.00 μB per atom

a = 4.185 Å, b = 4.185 Å, c = 4.785 Å
α = 90.00°, β = 90.00°, γ = 90.00°
Positions (direct):
La 0.000 0.000 0.000
Be 0.000 0.000 0.500
Mo 0.500 0.500 0.500
C 0.000 0.500 0.000
C 0.500 0.000 0.000

---

Below is crystalline Ta3HBr at its relaxed geometry, with properties calculated at the PBE level.

Space-group type ... Pm-3m (221)
Uncorrected energy ... -37.2 eV/cell
Size of the total moment ... 0.00 μB per atom
Distance to the lowest polymorph of the same formula ... 0.00 eV per formula unit

a = 4.260 Å, b = 4.260 Å, c = 4.260 Å
α = 90.00°, β = 90.00°, γ = 90.00°
Positions (direct):
Ta 0.000 0.000 0.500
Ta 0.000 0.500 0.000
Ta 0.500 0.000 0.000
H 0.000 0.000 0.000
Br 0.500 0.500 0.500

---

Below is crystalline Zr2SbAs at its relaxed geometry, with properties calculated at the PBE level.

Space-group type ... Pm (6)
Raw formation energy ... -0.62 eV per atom
Uncorrected energy ... -28.4 eV/cell
Size of the total moment ... 0.00 μB per atom

a = 3.659 Å, b = 5.088 Å, c = 5.367 Å
α = 90.00°, β = 109.91°, γ = 90.00°
Positions (direct):
Zr 0.000 0.000 0.000
Zr 0.298 0.500 0.597
Sb 0.721 0.000 0.443
As 0.008 0.500 0.019

---

Below is crystalline ReMoPt2 at its relaxed geometry, with properties calculated at the PBE level.

Formation energy from the elements ... -0.13 eV per atom
Space-group type ... P4/mmm (123)
Uncorrected energy ... -35.9 eV/cell
Size of the total moment ... 0.00 μB per atom
Distance to the lowest polymorph of the same formula ... 0.10 eV per formula unit

a = 2.726 Å, b = 2.726 Å, c = 8.231 Å
α = 90.00°, β = 90.00°, γ = 90.00°
Positions (direct):
Re 0.000 0.000 0.000
Mo 0.000 0.000 0.500
Pt 0.500 0.500 0.245
Pt 0.500 0.500 0.755

---

Below is crystalline LiNiSb2 at its relaxed geometry, with properties calculated at the PBE level.

Space-group type ... C2/m (12)
Raw formation energy ... -0.07 eV per atom
Uncorrected energy ... -16.2 eV/cell
Size of the total moment ... 0.00 μB per atom
Distance to the lowest polymorph of the same formula ... 0.81 eV per formula unit

a = 4.916 Å, b = 4.916 Å, c = 3.191 Å
α = 93.02°, β = 93.02°, γ = 101.59°
Positions (direct):
Li 0.000 0.000 0.000
Ni 0.500 0.500 0.000
Sb 0.000 0.500 0.500
Sb 0.500 0.000 0.500

---

Below is crystalline K2Ba2Bi4Pd at its relaxed geometry, with properties calculated at the PBE level.

Formation energy from the elements ... -0.53 eV per atom
Space-group type ... I4/mmm (139)
Uncorrected energy ... -31.5 eV/cell
Size of the total moment ... 0.00 μB per atom

a = 7.652 Å, b = 7.652 Å, c = 7.652 Å
α = 118.54°, β = 118.54°, γ = 92.54°
Positions (direct):
K 0.212 0.212 0.000
K 0.788 0.788 0.000
Ba 0.250 0.750 0.500
Ba 0.750 0.250 0.500
Bi 0.252 0.252 0.504
Bi 0.252 0.748 0.000
Bi 0.748 0.252 0.000
Bi 0.748 0.748 0.496
Pd 0.500 0.500 0.000

---

Below is crystalline La6YHg5 at its relaxed geometry, with properties calculated at the PBE level.

Formation energy from the elements ... -0.38 eV per atom
Space-group type ... Cmmm (65)
Uncorrected energy ... -42.0 eV/cell
Size of the total moment ... 0.08 μB per atom

a = 8.884 Å, b = 8.884 Å, c = 7.933 Å
α = 90.00°, β = 90.00°, γ = 144.18°
Positions (direct):
La 0.000 0.000 0.223
La 0.000 0.000 0.777
La 0.325 0.675 0.254
La 0.325 0.675 0.746
La 0.675 0.325 0.254
La 0.675 0.325 0.746
Y 0.500 0.500 0.500
Hg 0.145 0.855 0.500
Hg 0.168 0.832 0.000
Hg 0.500 0.500 0.000
Hg 0.832 0.168 0.000
Hg 0.855 0.145 0.500

---

Below is crystalline SrMg2Ir at its relaxed geometry, with properties calculated at the PBE level.

Formation energy from the elements ... 0.29 eV per atom
Space-group type ... Cmmm (65)
Uncorrected energy ... -12.6 eV/cell
Size of the total moment ... 0.00 μB per atom

a = 5.307 Å, b = 5.307 Å, c = 3.317 Å
α = 90.00°, β = 90.00°, γ = 111.18°
Positions (direct):
Sr 0.000 0.000 0.000
Mg 0.000 0.500 0.500
Mg 0.500 0.000 0.500
Ir 0.500 0.500 0.000

---

Below is crystalline Pr2Sm5Ho5 at its relaxed geometry, with properties calculated at the PBE level.

Formation energy from the elements ... 0.02 eV per atom
Space-group type ... C2/m (12)
Uncorrected energy ... -55.8 eV/cell
Size of the total moment ... 0.00 μB per atom

a = 8.051 Å, b = 8.051 Å, c = 11.381 Å
α = 115.09°, β = 115.09°, γ = 36.83°
Positions (direct):
Pr 0.083 0.083 0.248
Pr 0.917 0.917 0.752
Sm 0.334 0.334 0.500
Sm 0.415 0.415 0.249
Sm 0.500 0.500 0.000
Sm 0.585 0.585 0.751
Sm 0.666 0.666 0.500
Ho 0.000 0.000 0.500
Ho 0.169 0.169 0.001
Ho 0.249 0.249 0.751
Ho 0.751 0.751 0.249
Ho 0.831 0.831 0.999

---

Below is crystalline ReAg3 at its relaxed geometry, with properties calculated at the PBE level.

Formation energy from the elements ... 0.88 eV per atom
Space-group type ... Pmmn (59)
Uncorrected energy ... -35.0 eV/cell
Size of the total moment ... 0.63 μB per atom
Distance to the lowest polymorph of the same formula ... 1.97 eV per formula unit

a = 4.759 Å, b = 5.876 Å, c = 4.943 Å
α = 90.00°, β = 90.00°, γ = 90.00°
Positions (direct):
Re 0.250 0.250 0.168
Re 0.750 0.750 0.832
Ag 0.250 0.000 0.668
Ag 0.250 0.500 0.668
Ag 0.250 0.750 0.161
Ag 0.750 0.000 0.332
Ag 0.750 0.250 0.839
Ag 0.750 0.500 0.332

---

Below is crystalline Sm6ZnRu2I3 at its relaxed geometry, with properties calculated at the PBE level.

Space-group type ... C2/m (12)
Raw formation energy ... -0.65 eV per atom
Uncorrected energy ... -60.6 eV/cell
Size of the total moment ... 0.00 μB per atom

a = 7.222 Å, b = 7.222 Å, c = 8.432 Å
α = 98.20°, β = 98.20°, γ = 119.98°
Positions (direct):
Sm 0.081 0.437 0.812
Sm 0.206 0.206 0.187
Sm 0.437 0.081 0.812
Sm 0.563 0.919 0.188
Sm 0.794 0.794 0.813
Sm 0.919 0.563 0.188
Zn 0.500 0.500 0.000
Ru 0.167 0.833 0.000
Ru 0.833 0.167 0.000
I 0.000 0.000 0.500
I 0.335 0.665 0.500
I 0.665 0.335 0.500